This record from Alexandria via LeMat-Bulk describes a relaxed Y2InFe crystal. The functional is GGA-PBE.

calculated total energy	-6.091	eV per atom
energy of formation	-5.6	kJ/mol of atoms

Unit cell a=6.2179 b=6.2179 c=6.2179 alpha=147.67 beta=131.57 gamma=59.43
Fractional positions:
Y: 0.0000 0.0000 0.0000
Y: 0.7018 0.2018 0.5000
In: 0.4170 0.4170 0.0000
Fe: 0.2220 0.7220 0.5000



This record from Alexandria via LeMat-Bulk describes a relaxed YIn2Fe crystal. The functional is GGA-PBE.

calculated total energy	-5.162	eV per atom
energy of formation	-5.9	kJ/mol of atoms

Unit cell a=4.3875 b=4.3875 c=4.5627 alpha=90.00 beta=90.00 gamma=90.00
Fractional positions:
Y: 0.0000 0.0000 0.0000
In: 0.0000 0.5000 0.5000
In: 0.5000 0.0000 0.5000
Fe: 0.5000 0.5000 0.0000